No. 1
# MnAsOs | Alexandria | SCAN | single point on PBEsol structure
# V (A^3/atom): 14.404
# SG: F-43m
# Theoretical density (kg/m³): 12301
# E_tot (Ry per atom): -2.68957
# ΔH_f (0 K) (eV per atom): 0.18
data_MnAsOs
_cell_length_a 3.939
_cell_length_b 3.939
_cell_length_c 3.939
_cell_angle_alpha 60.00
_cell_angle_beta 60.00
_cell_angle_gamma 60.00
_space_group_name_H-M_alt 'P 1'
_space_group_IT_number 1
_space_group_name_Hall 'P 1'
loop_
_atom_site_label
_atom_site_type_symbol
_atom_site_fract_x
_atom_site_fract_y
_atom_site_fract_z
Mn1 Mn 0.000 0.000 0.000
As1 As 0.250 0.250 0.250
Os1 Os 0.750 0.750 0.750

No. 2
# MnAsP | Alexandria | SCAN | single point on PBEsol structure
# V (A^3/atom): 15.677
# SG: Fmm2
# Theoretical density (kg/m³): 5678
# E_tot (Ry per atom): -1.20123
# ΔH_f (0 K) (eV per atom): -0.06
data_MnAsP
_cell_length_a 6.954
_cell_length_b 6.842
_cell_length_c 2.694
_cell_angle_alpha 81.07
_cell_angle_beta 76.42
_cell_angle_gamma 22.50
_space_group_name_H-M_alt 'P 1'
_space_group_IT_number 1
_space_group_name_Hall 'P 1'
loop_
_atom_site_label
_atom_site_type_symbol
_atom_site_fract_x
_atom_site_fract_y
_atom_site_fract_z
Mn1 Mn 0.000 0.000 0.000
As1 As 0.358 0.358 0.642
P1 P 0.620 0.620 0.380

No. 3
# MnAsP | Alexandria | SCAN | single point on PBEsol structure
# V (A^3/atom): 14.306
# SG: I4mm
# Theoretical density (kg/m³): 6223
# E_tot (Ry per atom): -1.19659
# ΔH_f (0 K) (eV per atom): 0.00
data_MnAsP
_cell_length_a 5.896
_cell_length_b 5.896
_cell_length_c 5.896
_cell_angle_alpha 152.74
_cell_angle_beta 152.74
_cell_angle_gamma 38.93
_space_group_name_H-M_alt 'P 1'
_space_group_IT_number 1
_space_group_name_Hall 'P 1'
loop_
_atom_site_label
_atom_site_type_symbol
_atom_site_fract_x
_atom_site_fract_y
_atom_site_fract_z
Mn1 Mn 0.000 0.000 0.000
As1 As 0.356 0.356 0.000
P1 P 0.611 0.611 0.000

No. 4
# MnAsPb2 | Alexandria | SCAN | single point on PBEsol structure
# V (A^3/atom): 22.788
# SG: Cmmm
# Theoretical density (kg/m³): 9915
# E_tot (Ry per atom): -3.47499
# ΔH_f (0 K) (eV per atom): 0.22
data_MnAsPb2
_cell_length_a 5.337
_cell_length_b 5.337
_cell_length_c 3.209
_cell_angle_alpha 90.00
_cell_angle_beta 90.00
_cell_angle_gamma 94.27
_space_group_name_H-M_alt 'P 1'
_space_group_IT_number 1
_space_group_name_Hall 'P 1'
loop_
_atom_site_label
_atom_site_type_symbol
_atom_site_fract_x
_atom_site_fract_y
_atom_site_fract_z
Mn1 Mn 0.000 0.000 0.000
As1 As 0.500 0.500 0.000
Pb1 Pb 0.000 0.500 0.500
Pb2 Pb 0.500 0.000 0.500